<1>
A relaxed structure of TlAgPCl2, computed with GGA-PBE.

```
data_TlAgPCl2
_chemical_formula_sum 'Tl1 Ag1 P1 Cl2'
_cell_length_a 5.445
_cell_length_b 5.445
_cell_length_c 5.243
_cell_angle_alpha 90.00
_cell_angle_beta 90.00
_cell_angle_gamma 90.00
_space_group_name_H-M_alt 'P 4/m m m'
_space_group_IT_number 123
_space_group_name_Hall '-P 4 2'
loop_
_atom_site_label
_atom_site_type_symbol
_atom_site_fract_x
_atom_site_fract_y
_atom_site_fract_z
Tl1 Tl 0.000 0.000 0.000
Ag1 Ag 0.500 0.500 0.500
P1 P 0.000 0.000 0.500
Cl1 Cl 0.000 0.500 0.000
```

=====

<2>
A relaxed structure of TlAgPCl2, computed with GGA-PBE.

```
data_TlAgPCl2
_chemical_formula_sum 'Tl1 Ag1 P1 Cl2'
_cell_length_a 5.362
_cell_length_b 5.362
_cell_length_c 4.871
_cell_angle_alpha 90.00
_cell_angle_beta 90.00
_cell_angle_gamma 90.00
_space_group_name_H-M_alt 'P 4/m m m'
_space_group_IT_number 123
_space_group_name_Hall '-P 4 2'
loop_
_atom_site_label
_atom_site_type_symbol
_atom_site_fract_x
_atom_site_fract_y
_atom_site_fract_z
Tl1 Tl 0.000 0.000 0.000
Ag1 Ag 0.500 0.500 0.500
P1 P 0.500 0.500 0.000
Cl1 Cl 0.000 0.500 0.500
```

=====

Least stable = <1>

=====

<1>
A relaxed structure of YAgP2Cl, computed with GGA-PBE.

```
data_YAgP2Cl
_chemical_formula_sum 'Y1 Ag1 P2 Cl1'
_cell_length_a 5.371
_cell_length_b 5.371
_cell_length_c 5.192
_cell_angle_alpha 90.00
_cell_angle_beta 90.00
_cell_angle_gamma 90.00
_space_group_name_H-M_alt 'P 4/m m m'
_space_group_IT_number 123
_space_group_name_Hall '-P 4 2'
loop_
_atom_site_label
_atom_site_type_symbol
_atom_site_fract_x
_atom_site_fract_y
_atom_site_fract_z
Y1 Y 0.000 0.000 0.000
Ag1 Ag 0.500 0.500 0.500
P1 P 0.000 0.500 0.000
Cl1 Cl 0.000 0.000 0.500
```

=====

<2>
A relaxed structure of YAgP2Cl, computed with GGA-PBE.

```
data_YAgP2Cl
_chemical_formula_sum 'Y1 Ag1 P2 Cl1'
_cell_length_a 4.831
_cell_length_b 4.831
_cell_length_c 4.721
_cell_angle_alpha 90.00
_cell_angle_beta 90.00
_cell_angle_gamma 90.00
_space_group_name_H-M_alt 'P 4/m m m'
_space_group_IT_number 123
_space_group_name_Hall '-P 4 2'
loop_
_atom_site_label
_atom_site_type_symbol
_atom_site_fract_x
_atom_site_fract_y
_atom_site_fract_z
Y1 Y 0.000 0.000 0.000
Ag1 Ag 0.500 0.500 0.000
P1 P 0.000 0.500 0.500
Cl1 Cl 0.500 0.500 0.500
```

=====

<3>
A relaxed structure of YAgP2Cl, computed with GGA-PBE.

```
data_YAgP2Cl
_chemical_formula_sum 'Y1 Ag1 P2 Cl1'
_cell_length_a 4.766
_cell_length_b 4.766
_cell_length_c 5.035
_cell_angle_alpha 90.00
_cell_angle_beta 90.00
_cell_angle_gamma 90.00
_space_group_name_H-M_alt 'P 4/m m m'
_space_group_IT_number 123
_space_group_name_Hall '-P 4 2'
loop_
_atom_site_label
_atom_site_type_symbol
_atom_site_fract_x
_atom_site_fract_y
_atom_site_fract_z
Y1 Y 0.000 0.000 0.000
Ag1 Ag 0.500 0.500 0.500
P1 P 0.000 0.500 0.500
Cl1 Cl 0.500 0.500 0.000
```

=====

Least stable = <2>

=====

<1>
A relaxed structure of ZrAgPCl2, computed with GGA-PBE.

```
data_ZrAgPCl2
_chemical_formula_sum 'Zr1 Ag1 P1 Cl2'
_cell_length_a 4.985
_cell_length_b 4.985
_cell_length_c 5.195
_cell_angle_alpha 90.00
_cell_angle_beta 90.00
_cell_angle_gamma 90.00
_space_group_name_H-M_alt 'P 4/m m m'
_space_group_IT_number 123
_space_group_name_Hall '-P 4 2'
loop_
_atom_site_label
_atom_site_type_symbol
_atom_site_fract_x
_atom_site_fract_y
_atom_site_fract_z
Zr1 Zr 0.000 0.000 0.000
Ag1 Ag 0.500 0.500 0.500
P1 P 0.000 0.000 0.500
Cl1 Cl 0.000 0.500 0.000
```

=====

<2>
A relaxed structure of ZrAgPCl2, computed with GGA-PBE.

```
data_ZrAgPCl2
_chemical_formula_sum 'Zr1 Ag1 P1 Cl2'
_cell_length_a 4.772
_cell_length_b 4.772
_cell_length_c 5.149
_cell_angle_alpha 90.00
_cell_angle_beta 90.00
_cell_angle_gamma 90.00
_space_group_name_H-M_alt 'P 4/m m m'
_space_group_IT_number 123
_space_group_name_Hall '-P 4 2'
loop_
_atom_site_label
_atom_site_type_symbol
_atom_site_fract_x
_atom_site_fract_y
_atom_site_fract_z
Zr1 Zr 0.000 0.000 0.000
Ag1 Ag 0.500 0.500 0.500
P1 P 0.500 0.500 0.000
Cl1 Cl 0.000 0.500 0.500
```

=====

Least stable = <2>

=====

<1>
A relaxed structure of AgPbCl4, computed with GGA-PBE.

```
data_AgPbCl4
_chemical_formula_sum 'Ag4 Pb4 Cl16'
_cell_length_a 8.468
_cell_length_b 8.468
_cell_length_c 8.468
_cell_angle_alpha 90.00
_cell_angle_beta 90.00
_cell_angle_gamma 90.00
_space_group_name_H-M_alt 'F -4 3 m'
_space_group_IT_number 216
_space_group_name_Hall 'F -4 2 3'
loop_
_atom_site_label
_atom_site_type_symbol
_atom_site_fract_x
_atom_site_fract_y
_atom_site_fract_z
Ag1 Ag 0.000 0.000 0.000
Pb1 Pb 0.250 0.250 0.250
Cl1 Cl 0.126 0.126 0.626
```

=====

<2>
A relaxed structure of AgPbCl4, computed with GGA-PBE.

```
data_AgPbCl4
_chemical_formula_sum 'Ag2 Pb2 Cl8'
_cell_length_a 6.978
_cell_length_b 6.978
_cell_length_c 7.254
_cell_angle_alpha 90.00
_cell_angle_beta 90.00
_cell_angle_gamma 90.00
_space_group_name_H-M_alt 'I -4'
_space_group_IT_number 82
loop_
_space_group_symop_operation_xyz
'x,y,z'
'y,-x,-z'
'-x,-y,z'
'-y,x,-z'
'x+1/2,y+1/2,z+1/2'
'y+1/2,-x+1/2,-z+1/2'
'-x+1/2,-y+1/2,z+1/2'
'-y+1/2,x+1/2,-z+1/2'
loop_
_atom_site_label
_atom_site_type_symbol
_atom_site_fract_x
_atom_site_fract_y
_atom_site_fract_z
Ag1 Ag 0.000 0.000 0.000
Pb1 Pb 0.000 0.500 0.250
Cl1 Cl 0.247 0.250 0.000
```

=====

Least stable = <1>

=====

<1>
A relaxed structure of AgPb3Cl, computed with GGA-PBE.

```
data_AgPb3Cl
_chemical_formula_sum 'Ag1 Pb3 Cl1'
_cell_length_a 5.525
_cell_length_b 5.525
_cell_length_c 5.525
_cell_angle_alpha 90.00
_cell_angle_beta 90.00
_cell_angle_gamma 90.00
_space_group_name_H-M_alt 'P m -3 m'
_space_group_IT_number 221
_space_group_name_Hall '-P 4 2 3'
loop_
_atom_site_label
_atom_site_type_symbol
_atom_site_fract_x
_atom_site_fract_y
_atom_site_fract_z
Ag1 Ag 0.000 0.000 0.000
Pb1 Pb 0.000 0.500 0.500
Cl1 Cl 0.500 0.500 0.500
```

=====

<2>
A relaxed structure of AgPb3Cl, computed with GGA-PBE.

```
data_AgPb3Cl
_chemical_formula_sum 'Ag1 Pb3 Cl1'
_cell_length_a 5.570
_cell_length_b 5.570
_cell_length_c 5.570
_cell_angle_alpha 90.00
_cell_angle_beta 90.00
_cell_angle_gamma 90.00
_space_group_name_H-M_alt 'P m -3 m'
_space_group_IT_number 221
_space_group_name_Hall '-P 4 2 3'
loop_
_atom_site_label
_atom_site_type_symbol
_atom_site_fract_x
_atom_site_fract_y
_atom_site_fract_z
Ag1 Ag 0.000 0.000 0.000
Pb1 Pb 0.000 0.000 0.500
Cl1 Cl 0.500 0.500 0.500
```

=====

Least stable = <1>